Al2NiO4 | GGA+U | relaxed

Cell: 5.7483 5.7483 23.5502 Å, 82.73 82.73 60.31°
Last column: nearest neighbours and their distance in Å.
Fractional coordinates of all 70 atoms:
Al (0.9256, 0.9256, 0.2278)  4 O 1.80-1.84
Al (0.2916, 0.7955, 0.1008)  6 O 1.88-1.98
Al (0.7955, 0.2916, 0.1008)  6 O 1.88-1.98
Al (0.5293, 0.5293, 0.4267)  4 O 1.80-1.84
Al (0.8973, 0.3976, 0.3001)  6 O 1.90-1.97
Al (0.2651, 0.2651, 0.1732)  4 O 1.79-1.84
Al (0.3976, 0.8973, 0.3001)  6 O 1.90-1.97
Al (0.1323, 0.1323, 0.6262)  4 O 1.79-1.84
Al (0.5004, 0.0004, 0.4998)  6 O 1.90-1.97
Al (0.8687, 0.8687, 0.3734)  4 O 1.79-1.84
Al (0.0004, 0.5004, 0.4998)  6 O 1.90-1.97
Al (0.7365, 0.7365, 0.8248)  4 O 1.78-1.82
Al (0.1036, 0.6034, 0.6994)  6 O 1.90-1.98
Al (0.4715, 0.4715, 0.5730)  4 O 1.79-1.84
Al (0.6034, 0.1036, 0.6994)  6 O 1.90-1.98
Al (0.7027, 0.2071, 0.8990)  6 O 1.86-2.03
Al (0.0744, 0.0744, 0.7731)  4 O 1.79-1.85
Al (0.9975, 0.9975, 0.0025)  6 O 1.86-1.98
Al (0.2071, 0.7027, 0.8990)  6 O 1.86-2.03
Al (0.6694, 0.6694, 0.9760)  4 O 1.80-1.90
Ni (0.3230, 0.3230, 0.0249)  4 O 1.94-1.98
Ni (0.5956, 0.5956, 0.2000)  6 O 2.04-2.09
Ni (0.7957, 0.7957, 0.1007)  6 O 2.02-2.07
Ni (0.1989, 0.1989, 0.4001)  6 O 2.04-2.07
Ni (0.3974, 0.3974, 0.3002)  6 O 2.03-2.07
Ni (0.8016, 0.8016, 0.5998)  6 O 2.04-2.07
Ni (0.0003, 0.0003, 0.4999)  6 O 2.04-2.07
Ni (0.4050, 0.4050, 0.7998)  6 O 2.04-2.09
Ni (0.6031, 0.6031, 0.6996)  6 O 2.04-2.07
Ni (0.2057, 0.2057, 0.8994)  6 O 2.01-2.07
O (0.6838, 0.1426, 0.0508)  2 Al 1.86-1.88, 2 Ni 1.94-2.02
O (0.1426, 0.6838, 0.0508)  2 Al 1.86-1.88, 2 Ni 1.94-2.02
O (0.9519, 0.9519, 0.1502)  3 Al 1.81-1.98
O (0.1258, 0.1258, 0.0543)  3 Al 1.89-1.91, 1 Ni 1.98
O (0.2549, 0.7581, 0.2538)  2 Al 1.80-1.90
O (0.4474, 0.4474, 0.1453)  3 Al 1.84-1.96
O (0.6368, 0.6368, 0.0533)  3 Al 1.80-1.98
O (0.7581, 0.2549, 0.2538)  2 Al 1.80-1.90
O (0.4327, 0.9380, 0.1467)  2 Al 1.79-1.90
O (0.5563, 0.5563, 0.3482)  3 Al 1.83-1.97
O (0.7423, 0.7423, 0.2544)  3 Al 1.84-1.96
O (0.9380, 0.4327, 0.1467)  2 Al 1.79-1.90
O (0.8570, 0.3617, 0.4534)  2 Al 1.80-1.90
O (0.0517, 0.0517, 0.3465)  3 Al 1.84-1.97
O (0.2384, 0.2384, 0.2523)  3 Al 1.84-1.97
O (0.3617, 0.8570, 0.4534)  2 Al 1.80-1.90
O (0.0360, 0.5406, 0.3470)  2 Al 1.79-1.91
O (0.1594, 0.1594, 0.5477)  3 Al 1.83-1.97
O (0.3462, 0.3462, 0.4539)  3 Al 1.84-1.96
O (0.5406, 0.0360, 0.3470)  2 Al 1.79-1.91
O (0.4596, 0.9648, 0.6531)  2 Al 1.79-1.90
O (0.6545, 0.6545, 0.5463)  3 Al 1.83-1.97
O (0.9648, 0.4596, 0.6531)  2 Al 1.79-1.90
O (0.8412, 0.8412, 0.4523)  3 Al 1.84-1.96
O (0.6389, 0.1432, 0.5468)  2 Al 1.79-1.91
O (0.7630, 0.7630, 0.7465)  3 Al 1.82-1.96
O (0.9494, 0.9494, 0.6534)  3 Al 1.84-1.97
O (0.1432, 0.6389, 0.5468)  2 Al 1.79-1.91
O (0.2574, 0.2574, 0.7463)  3 Al 1.84-1.98
O (0.0598, 0.5687, 0.8524)  2 Al 1.78-1.90
O (0.4440, 0.4440, 0.6520)  3 Al 1.84-1.96
O (0.2419, 0.7462, 0.7467)  2 Al 1.79-1.91
O (0.5687, 0.0598, 0.8524)  2 Al 1.78-1.90
O (0.3701, 0.3701, 0.9401)  2 Al 1.86, 2 Ni 1.98-2.01
O (0.5564, 0.5564, 0.8529)  3 Al 1.82-1.98
O (0.7462, 0.2419, 0.7467)  2 Al 1.79-1.91
O (0.8598, 0.8598, 0.9495)  4 Al 1.90-2.03
O (0.0453, 0.0453, 0.8526)  3 Al 1.85-1.96, 1 Ni 2.07
O (0.8521, 0.3298, 0.9507)  3 Al 1.84-1.98
O (0.3298, 0.8521, 0.9507)  3 Al 1.84-1.98

Values from the calculation:
calculated density: 4.386 g/cm3
energy above the lowest structure with this stoichiometry: 0.003 eV per atom
total magnetization: 20.00 Bohr magnetons per cell
DOS at the Fermi energy: 0.0 states/eV/cell
VASP energy: -6.7349 eV/atom